Here is a geometry-optimized LaSm2Dy9 structure from Alexandria. Energies are from PBE-GGA.

Unit cell a=5.0545 b=5.0545 c=15.1739 alpha=90.00 beta=90.00 gamma=90.00
Last column: nearest neighbours and their distance in Å.
Atoms (fractional coordinates):
La (0.0000, 0.0000, 0.0000)  12 Dy 3.57-3.60
Sm (0.0000, 0.0000, 0.3337)  12 Dy 3.55-3.57
Sm (0.0000, 0.0000, 0.6663)  12 Dy 3.55-3.57
Dy (0.0000, 0.5000, 0.1691)  2 Sm 3.55, 8 Dy 3.56-3.60, 2 La 3.60
Dy (0.0000, 0.5000, 0.5000)  8 Dy 3.56-3.57, 4 Sm 3.57
Dy (0.0000, 0.5000, 0.8309)  2 Sm 3.55, 8 Dy 3.56-3.60, 2 La 3.60
Dy (0.5000, 0.0000, 0.1691)  2 Sm 3.55, 8 Dy 3.56-3.60, 2 La 3.60
Dy (0.5000, 0.0000, 0.5000)  8 Dy 3.56-3.57, 4 Sm 3.57
Dy (0.5000, 0.0000, 0.8309)  2 Sm 3.55, 8 Dy 3.56-3.60, 2 La 3.60
Dy (0.5000, 0.5000, 0.0000)  4 La 3.57, 8 Dy 3.60
Dy (0.5000, 0.5000, 0.3347)  8 Dy 3.56, 4 Sm 3.57
Dy (0.5000, 0.5000, 0.6653)  8 Dy 3.56, 4 Sm 3.57

Summary:
DOS at the Fermi energy: 17.675 states/eV/f.u.
space-group type: P4/mmm, No. 123
distance to the lowest polymorph of the same formula: 0.0 meV/atom
ΔE_f: 0.02 eV/atom
M_tot: 0.00 μB/cell

Here is a geometry-optimized La9Sm11Dy4 structure from Alexandria. Energies are from PBE-GGA.

Unit cell a=15.9820 b=15.9820 c=3.7186 alpha=90.00 beta=90.00 gamma=117.69
Last column: nearest neighbours and their distance in Å.
Atoms (fractional coordinates):
La (0.0000, 0.0000, 0.0000)  2 La 3.72, 4 Dy 3.81, 4 Sm 3.83
La (0.1140, 0.6717, 0.0000)  3 La 3.54-3.72, 8 Sm 3.59-3.73, 1 Dy 3.64
La (0.2954, 0.4740, 0.0000)  1 Dy 3.54, 8 Sm 3.60-3.73, 3 La 3.72-3.81
La (0.3283, 0.8860, 0.0000)  3 La 3.54-3.72, 8 Sm 3.59-3.73, 1 Dy 3.64
La (0.4740, 0.2954, 0.0000)  1 Dy 3.54, 8 Sm 3.60-3.73, 3 La 3.72-3.81
La (0.5260, 0.7046, 0.0000)  1 Dy 3.54, 8 Sm 3.60-3.73, 3 La 3.72-3.81
La (0.6717, 0.1140, 0.0000)  3 La 3.54-3.72, 8 Sm 3.59-3.73, 1 Dy 3.64
La (0.7046, 0.5260, 0.0000)  1 Dy 3.54, 8 Sm 3.60-3.73, 3 La 3.72-3.81
La (0.8860, 0.3283, 0.0000)  3 La 3.54-3.72, 8 Sm 3.59-3.73, 1 Dy 3.64
Sm (0.0985, 0.4642, 0.5000)  2 Dy 3.57, 6 La 3.59-3.71, 4 Sm 3.62-3.82
Sm (0.1222, 0.8778, 0.5000)  4 Dy 3.47, 2 Sm 3.72, 6 La 3.73-3.83
Sm (0.2570, 0.2570, 0.5000)  4 Dy 3.48, 2 Sm 3.72, 4 La 3.73
Sm (0.3191, 0.6809, 0.5000)  4 Sm 3.62-3.72, 8 La 3.66-3.71
Sm (0.4642, 0.0985, 0.5000)  2 Dy 3.57, 6 La 3.59-3.71, 4 Sm 3.62-3.82
Sm (0.5000, 0.5000, 0.5000)  8 La 3.61, 4 Sm 3.72-4.02
Sm (0.5358, 0.9015, 0.5000)  2 Dy 3.57, 6 La 3.59-3.71, 4 Sm 3.62-3.82
Sm (0.6809, 0.3191, 0.5000)  4 Sm 3.62-3.72, 8 La 3.66-3.71
Sm (0.7430, 0.7430, 0.5000)  4 Dy 3.48, 2 Sm 3.72, 4 La 3.73
Sm (0.8778, 0.1222, 0.5000)  4 Dy 3.47, 2 Sm 3.72, 6 La 3.73-3.83
Sm (0.9015, 0.5358, 0.5000)  2 Dy 3.57, 6 La 3.59-3.71, 4 Sm 3.62-3.82
Dy (0.0767, 0.2645, 0.0000)  6 Sm 3.47-3.57, 3 La 3.54-3.81, 2 Dy 3.72
Dy (0.2645, 0.0767, 0.0000)  6 Sm 3.47-3.57, 3 La 3.54-3.81, 2 Dy 3.72
Dy (0.7355, 0.9233, 0.0000)  6 Sm 3.47-3.57, 3 La 3.54-3.81, 2 Dy 3.72
Dy (0.9233, 0.7355, 0.0000)  6 Sm 3.47-3.57, 3 La 3.54-3.81, 2 Dy 3.72

Summary:
DOS at the Fermi energy: 35.486 states/eV/f.u.
space-group type: Cmmm, No. 65
ΔE_f: 0.05 eV/atom
M_tot: 0.29 μB/cell

Here is a geometry-optimized La2Sm2Dy15 structure from Alexandria. Energies are from PBE-GGA.

Unit cell a=8.7711 b=8.7711 c=8.7711 alpha=80.30 beta=80.30 gamma=80.30
Last column: nearest neighbours and their distance in Å.
Atoms (fractional coordinates):
La (0.1700, 0.1700, 0.1700)  15 Dy 3.98-4.35, 1 Sm 4.15
La (0.8300, 0.8300, 0.8300)  15 Dy 3.98-4.35, 1 Sm 4.15
Sm (0.4063, 0.4063, 0.4063)  1 Sm 3.29, 3 Dy 3.51
Sm (0.5937, 0.5937, 0.5937)  1 Sm 3.29, 3 Dy 3.51
Dy (0.0000, 0.5000, 0.5000)  8 Dy 3.36-3.40, 2 Sm 3.51
Dy (0.1332, 0.1332, 0.6498)  6 Dy 3.31-3.36
Dy (0.1332, 0.6498, 0.1332)  6 Dy 3.31-3.36
Dy (0.2013, 0.5000, 0.7987)  6 Dy 3.34-3.40
Dy (0.2013, 0.7987, 0.5000)  6 Dy 3.34-3.40
Dy (0.3502, 0.8668, 0.8668)  6 Dy 3.31-3.36
Dy (0.5000, 0.0000, 0.5000)  8 Dy 3.36-3.40, 2 Sm 3.51
Dy (0.5000, 0.2013, 0.7987)  6 Dy 3.34-3.40
Dy (0.5000, 0.5000, 0.0000)  8 Dy 3.36-3.40, 2 Sm 3.51
Dy (0.5000, 0.7987, 0.2013)  6 Dy 3.34-3.40
Dy (0.6498, 0.1332, 0.1332)  6 Dy 3.31-3.36
Dy (0.7987, 0.2013, 0.5000)  6 Dy 3.34-3.40
Dy (0.7987, 0.5000, 0.2013)  6 Dy 3.34-3.40
Dy (0.8668, 0.3502, 0.8668)  6 Dy 3.31-3.36
Dy (0.8668, 0.8668, 0.3502)  6 Dy 3.31-3.36

Summary:
DOS at the Fermi energy: 38.995 states/eV/f.u.
space-group type: R-3m, No. 166
ΔE_f: 0.27 eV/atom
M_tot: 0.08 μB/cell

Here is a geometry-optimized La8Sm3Dy3 structure from Alexandria. Energies are from PBE-GGA.

Unit cell a=9.9171 b=9.9171 c=9.9171 alpha=146.26 beta=112.16 gamma=77.95
Last column: nearest neighbours and their distance in Å.
Atoms (fractional coordinates):
La (0.0565, 0.3942, 0.6623)  5 La 3.25-3.59
La (0.0697, 0.2276, 0.8420)  6 La 3.25-3.59
La (0.2681, 0.6058, 0.6623)  5 La 3.25-3.59
La (0.3856, 0.2276, 0.1580)  6 La 3.25-3.59
La (0.6144, 0.7724, 0.8420)  6 La 3.25-3.59
La (0.7319, 0.3942, 0.3377)  5 La 3.25-3.59
La (0.9303, 0.7724, 0.1580)  6 La 3.25-3.59
La (0.9435, 0.6058, 0.3377)  5 La 3.25-3.59
Sm (0.3234, 0.8234, 0.5000)  2 Dy 3.51, 8 La 3.68-3.87
Sm (0.5000, 0.5000, 0.0000)  4 Dy 3.63, 4 Sm 3.96
Sm (0.6766, 0.1766, 0.5000)  2 Dy 3.51, 8 La 3.68-3.87
Dy (0.0000, 0.0000, 0.0000)  2 Dy 3.33
Dy (0.3007, 0.0000, 0.3007)  1 Dy 3.33, 4 Sm 3.51-3.63, 4 La 3.65
Dy (0.6993, 0.0000, 0.6993)  1 Dy 3.33, 4 Sm 3.51-3.63, 4 La 3.65

Summary:
DOS at the Fermi energy: 19.231 states/eV/f.u.
space-group type: Immm, No. 71
ΔE_f: 0.09 eV/atom
M_tot: 0.00 μB/cell

Here is a geometry-optimized La3Sm3Dy structure from Alexandria. Energies are from PBE-GGA.

Unit cell a=8.9096 b=8.9096 c=8.9096 alpha=59.86 beta=59.86 gamma=59.86
Last column: nearest neighbours and their distance in Å.
Atoms (fractional coordinates):
La (0.0606, 0.8094, 0.3010)  3 Sm 3.29-3.46, 2 La 3.31, 1 Dy 3.50
La (0.1906, 0.6990, 0.9394)  3 Sm 3.29-3.46, 2 La 3.31, 1 Dy 3.50
La (0.3010, 0.0606, 0.8094)  3 Sm 3.29-3.46, 2 La 3.31, 1 Dy 3.50
La (0.6990, 0.9394, 0.1906)  3 Sm 3.29-3.46, 2 La 3.31, 1 Dy 3.50
La (0.8094, 0.3010, 0.0606)  3 Sm 3.29-3.46, 2 La 3.31, 1 Dy 3.50
La (0.9394, 0.1906, 0.6990)  3 Sm 3.29-3.46, 2 La 3.31, 1 Dy 3.50
Sm (0.0630, 0.5684, 0.7260)  3 La 3.29-3.46
Sm (0.2740, 0.9370, 0.4316)  3 La 3.29-3.46
Sm (0.4316, 0.2740, 0.9370)  3 La 3.29-3.46
Sm (0.5684, 0.7260, 0.0630)  3 La 3.29-3.46
Sm (0.7260, 0.0630, 0.5684)  3 La 3.29-3.46
Sm (0.9370, 0.4316, 0.2740)  3 La 3.29-3.46
Dy (0.3514, 0.3514, 0.3514)  6 La 3.50-3.81, 6 Sm 3.75-3.79
Dy (0.6486, 0.6486, 0.6486)  6 La 3.50-3.81, 6 Sm 3.75-3.79

Summary:
DOS at the Fermi energy: 11.057 states/eV/f.u.
space-group type: R-3, No. 148
distance to the lowest polymorph of the same formula: 6.4 meV/atom
ΔE_f: 0.23 eV/atom
M_tot: 0.00 μB/cell

Here is a geometry-optimized La3SmDy2 structure from Alexandria. Energies are from PBE-GGA.

Unit cell a=10.1260 b=10.1260 c=10.1260 alpha=137.96 beta=57.98 gamma=141.95
Last column: nearest neighbours and their distance in Å.
Atoms (fractional coordinates):
La (0.2741, 0.5241, 0.7500)  4 Sm 3.29-3.64, 2 La 3.53, 4 Dy 3.64
La (0.3133, 0.2424, 0.0709)  3 La 3.53-3.63, 6 Dy 3.59-3.86, 1 Sm 3.62
La (0.3285, 0.7576, 0.5709)  3 La 3.53-3.63, 6 Dy 3.59-3.86, 1 Sm 3.62
La (0.6715, 0.2424, 0.4291)  3 La 3.53-3.63, 6 Dy 3.59-3.86, 1 Sm 3.62
La (0.6867, 0.7576, 0.9291)  3 La 3.53-3.63, 6 Dy 3.59-3.86, 1 Sm 3.62
La (0.7259, 0.4759, 0.2500)  4 Sm 3.29-3.64, 2 La 3.53, 4 Dy 3.64
Sm (0.2280, 0.9780, 0.2500)  6 La 3.29-3.64, 4 Dy 3.50
Sm (0.7720, 0.0220, 0.7500)  6 La 3.29-3.64, 4 Dy 3.50
Dy (0.1459, 0.0000, 0.6459)  2 Sm 3.50, 8 La 3.59-3.86, 2 Dy 3.63
Dy (0.1459, 0.5000, 0.1459)  2 Sm 3.50, 8 La 3.59-3.86, 2 Dy 3.63
Dy (0.8541, 0.0000, 0.3541)  2 Sm 3.50, 8 La 3.59-3.86, 2 Dy 3.63
Dy (0.8541, 0.5000, 0.8541)  2 Sm 3.50, 8 La 3.59-3.86, 2 Dy 3.63

Summary:
DOS at the Fermi energy: 10.912 states/eV/f.u.
space-group type: Imma, No. 74
distance to the lowest polymorph of the same formula: 0.0 meV/atom
ΔE_f: 0.13 eV/atom
M_tot: 0.00 μB/cell